The following is a PBE calculation of a relaxed Ce3PmFe crystal, from the Alexandria database.

Summary:
Its final energy is -6.0996 eV per atom. The space-group type is Pm-3m.

Cell and atoms, written as POSCAR:
```
Ce3PmFe
1.0
-2.1961 4.6979 -0.3980
-1.7705 -1.2287 -4.7336
-4.3697 -1.8632 2.1180
Ce Pm Fe
3 1 1
Direct
0.5000 0.0000 0.0000
0.0000 0.5000 0.0000
0.0000 0.0000 0.5000
0.5000 0.5000 0.5000
0.0000 0.0000 0.0000
```



The following is a PBE calculation of a relaxed ZnFe6B2 crystal, from the Alexandria database.

Summary:
Its final energy is -7.4021 eV per atom. The space-group type is Immm.

Cell and atoms, written as POSCAR:
```
ZnFe6B2
1.0
-3.0898 -1.5538 -5.1715
4.6141 -3.8717 1.5573
-3.7788 -0.2199 4.9374
B Fe Zn
4 12 2
Direct
0.6368 0.0000 0.6368
0.5000 0.3852 0.8852
0.5000 0.6148 0.1148
0.3632 0.0000 0.3632
0.2186 0.7533 0.9719
0.0948 0.2921 0.8027
0.7814 0.7533 0.5347
0.3004 0.9815 0.6812
0.5106 0.7079 0.8027
0.3004 0.6192 0.3188
0.9052 0.7079 0.1973
0.2186 0.2467 0.4653
0.7814 0.2467 0.0281
0.6996 0.3808 0.6812
0.6996 0.0185 0.3188
0.4894 0.2921 0.1973
0.0000 0.5000 0.5000
0.0000 0.0000 0.0000
```



The following is a PBE calculation of a relaxed Mn3CrCu crystal, from the Alexandria database.

Summary:
The distance to the lowest polymorph of the same formula comes out at 0.0 meV/atom. Its final energy is -7.1893 eV per atom. The space-group type is Pm-3m.

Cell and atoms, written as POSCAR:
```
Mn3CrCu
1.0
4.5218 0.0000 0.0000
0.0000 4.5218 0.0000
0.0000 0.0000 4.5218
Mn Cr Cu
3 1 1
Direct
0.0000 0.5000 0.0000
0.5000 0.0000 0.0000
0.0000 0.0000 0.5000
0.5000 0.5000 0.5000
0.0000 0.0000 0.0000
```



The following is a PBE calculation of a relaxed KScSb2 crystal, from the Alexandria database.

Summary:
The distance to the lowest polymorph of the same formula comes out at 218.9 meV/atom. Its final energy is -4.2757 eV per atom. The space-group type is I-42d.

Cell and atoms, written as POSCAR:
```
KScSb2
1.0
6.1792 0.0000 0.0000
0.0000 6.1792 0.0000
3.0896 3.0896 9.0833
Sb Sc K
4 2 2
Direct
0.8750 0.0517 0.7500
0.8017 0.1250 0.2500
0.3750 0.1983 0.7500
0.9483 0.6250 0.2500
0.7500 0.2500 0.5000
0.0000 0.0000 0.0000
0.5000 0.5000 0.0000
0.2500 0.7500 0.5000
```